Record 1
Compound: Rb2SnHgBr4
Source: Alexandria
Functional: GGA-PBE
Structure: optimized geometry

Computed properties:
Space-group type: C2/m
ΔE_f (raw) (meV per atom): -1129

abc: 4.663 7.889 10.179
angles: 60.89 76.76 72.81
Element x y z (fractional)
1 Rb 0.791 0.700 0.717
2 Rb 0.209 0.300 0.283
3 Sn 0.000 0.000 0.000
4 Hg 0.500 0.500 0.500
5 Br 0.135 0.044 0.687
6 Br 0.386 0.299 0.928
7 Br 0.865 0.956 0.313
8 Br 0.614 0.701 0.072

---

Record 2
Compound: RbSnHgBr2
Source: Alexandria
Functional: GGA-PBE
Structure: optimized geometry

Computed properties:
Space-group type: P4/mmm
ΔE_f (raw) (meV per atom): -741

abc: 5.984 5.984 5.789
angles: 90.00 90.00 90.00
Element x y z (fractional)
1 Br 0.000 0.500 0.000
2 Br 0.500 0.000 0.000
3 Hg 0.000 0.000 0.500
4 Rb 0.500 0.500 0.500
5 Sn 0.000 0.000 0.000

---

Record 3
Compound: RbTaHgBr6
Source: Alexandria
Functional: GGA-PBE
Structure: optimized geometry

Computed properties:
Space-group type: P-31c
ΔE_f (raw) (meV per atom): -996

abc: 8.489 8.489 12.784
angles: 90.00 90.00 120.00
Element x y z (fractional)
1 Rb 0.333 0.667 0.250
2 Rb 0.667 0.333 0.750
3 Ta 0.667 0.333 0.250
4 Ta 0.333 0.667 0.750
5 Hg 0.000 0.000 0.000
6 Hg 0.000 0.000 0.500
7 Br 0.658 0.572 0.134
8 Br 0.914 0.342 0.134
9 Br 0.342 0.914 0.634
10 Br 0.086 0.658 0.866
11 Br 0.428 0.342 0.366
12 Br 0.914 0.572 0.366
13 Br 0.572 0.914 0.866
14 Br 0.658 0.086 0.366
15 Br 0.086 0.428 0.634
16 Br 0.428 0.086 0.134
17 Br 0.572 0.658 0.634
18 Br 0.342 0.428 0.866

---

Record 4
Compound: Rb2TbHgBr6
Source: Alexandria
Functional: GGA-PBE
Structure: optimized geometry

Computed properties:
Space-group type: Pmmn
ΔE_f (raw) (meV per atom): -1450

abc: 8.078 8.637 11.689
angles: 90.00 90.00 90.00
Element x y z (fractional)
1 Rb 0.500 0.802 0.215
2 Rb 0.000 0.198 0.715
3 Rb 0.500 0.802 0.785
4 Rb 0.000 0.198 0.285
5 Tb 0.500 0.224 0.500
6 Tb 0.000 0.776 0.000
7 Hg 0.000 0.715 0.500
8 Hg 0.500 0.285 0.000
9 Br 0.500 0.216 0.260
10 Br 0.500 0.216 0.740
11 Br 0.000 0.784 0.240
12 Br 0.000 0.784 0.760
13 Br 0.258 0.988 0.500
14 Br 0.742 0.988 0.500
15 Br 0.243 0.441 0.500
16 Br 0.757 0.441 0.500
17 Br 0.743 0.559 0.000
18 Br 0.257 0.559 0.000
19 Br 0.242 0.012 0.000
20 Br 0.758 0.012 0.000

---

Record 5
Compound: Rb2TcHgBr6
Source: Alexandria
Functional: GGA-PBE
Structure: optimized geometry

Computed properties:
Space-group type: I4/mmm
ΔE_f (raw) (meV per atom): -892

abc: 8.154 8.154 8.148
angles: 59.98 59.98 90.00
Each line ends with the local moment (μB).
Element x y z (fractional)
1 Br 0.279 0.279 0.443  0.03
2 Br 0.721 0.721 0.557  0.03
3 Br 0.279 0.279 0.000  0.03
4 Br 0.721 0.721 0.000  0.03
5 Br 0.721 0.279 0.000  0.03
6 Br 0.279 0.721 0.000  0.03
7 Hg 0.000 0.000 0.000  -0.03
8 Rb 0.750 0.250 0.500  0.00
9 Rb 0.250 0.750 0.500  0.00
10 Tc 0.500 0.500 0.000  2.41

---

Record 6
Compound: RbTc2HgBr
Source: Alexandria
Functional: GGA-PBE
Structure: optimized geometry

Computed properties:
Space-group type: P4/mmm
ΔE_f (raw) (meV per atom): 1274

abc: 4.752 6.588 4.752
angles: 90.00 90.00 90.00
Each line ends with the local moment (μB).
Element x y z (fractional)
1 Br 0.000 0.000 0.000  0.01
2 Hg 0.000 0.500 0.000  0.01
3 Rb 0.500 0.500 0.500  -0.01
4 Tc 0.000 0.000 0.500  1.43
5 Tc 0.500 0.000 0.000  1.74

---

The lowest ΔE_f (raw) belongs to which entry?
Rb2TbHgBr6